KHfUO6: optimized geometry, PBE.

**ΔE_f (raw)**: -2770 meV/atom

a = 7.777 Å, b = 7.777 Å, c = 7.777 Å
α = 121.41°, β = 117.94°, γ = 90.59°
Element x y z (fractional)
K 0.320 0.070 0.250
K 0.680 0.930 0.750
Hf 0.000 0.000 0.500
Hf 0.000 0.500 0.000
U 0.000 0.500 0.500
U 0.500 0.500 0.000
O 0.056 0.430 0.244
O 0.056 0.812 0.626
O 0.066 0.816 0.250
O 0.314 0.188 0.744
O 0.314 0.570 0.126
O 0.316 0.566 0.750
O 0.684 0.434 0.250
O 0.686 0.430 0.874
O 0.686 0.812 0.256
O 0.934 0.184 0.750
O 0.944 0.188 0.374
O 0.944 0.570 0.756

=====

Ba2TlCu2Pd5: optimized geometry, PBE.

**Energy relative to the elements**: -321 meV/atom

a = 10.158 Å, b = 10.158 Å, c = 3.981 Å
α = 90.00°, β = 90.00°, γ = 90.00°
Element x y z (fractional)
Ba 0.180 0.320 0.000
Ba 0.320 0.820 0.000
Ba 0.680 0.180 0.000
Ba 0.820 0.680 0.000
Tl 0.000 0.000 0.000
Tl 0.500 0.500 0.000
Cu 0.117 0.617 0.000
Cu 0.383 0.117 0.000
Cu 0.617 0.883 0.000
Cu 0.883 0.383 0.000
Pd 0.000 0.500 0.500
Pd 0.063 0.783 0.500
Pd 0.217 0.063 0.500
Pd 0.283 0.563 0.500
Pd 0.437 0.283 0.500
Pd 0.500 0.000 0.500
Pd 0.563 0.717 0.500
Pd 0.717 0.437 0.500
Pd 0.783 0.937 0.500
Pd 0.937 0.217 0.500

=====

ZrFe2Tc: optimized geometry, PBE.

**Energy relative to the elements**: 34 meV/atom
**Energy above the most stable polymorph in this dataset**: 26.4 meV/atom

a = 6.161 Å, b = 6.161 Å, c = 6.161 Å
α = 90.00°, β = 90.00°, γ = 90.00°
Element x y z (fractional)
Zr 0.000 0.000 0.000
Zr 0.000 0.500 0.500
Zr 0.500 0.000 0.500
Zr 0.500 0.500 0.000
Fe 0.250 0.250 0.250
Fe 0.250 0.250 0.750
Fe 0.250 0.750 0.250
Fe 0.250 0.750 0.750
Fe 0.750 0.250 0.250
Fe 0.750 0.250 0.750
Fe 0.750 0.750 0.250
Fe 0.750 0.750 0.750
Tc 0.000 0.000 0.500
Tc 0.000 0.500 0.000
Tc 0.500 0.000 0.000
Tc 0.500 0.500 0.500

=====

Computed spin magnetization, in the same sequence as the records: 0.0 0.0 3.6 μB per formula unit.